Pm6AgHg8: relaxed, PBE.

Cell lengths 8.2941, 8.2941, 8.2941 Å; angles 64.11, 64.11, 64.11 degrees
Sites, in units of the cell vectors:
Pm (0.0100, 0.4188, 0.7608)
Pm (0.2392, 0.9900, 0.5812)
Pm (0.4188, 0.7608, 0.0100)
Pm (0.5812, 0.2392, 0.9900)
Pm (0.7608, 0.0100, 0.4188)
Pm (0.9900, 0.5812, 0.2392)
Ag (0.0000, 0.0000, 0.0000)
Hg (0.1701, 0.7457, 0.4305)
Hg (0.2543, 0.5695, 0.8299)
Hg (0.3597, 0.3597, 0.3597)
Hg (0.4305, 0.1701, 0.7457)
Hg (0.5695, 0.8299, 0.2543)
Hg (0.6403, 0.6403, 0.6403)
Hg (0.7457, 0.4305, 0.1701)
Hg (0.8299, 0.2543, 0.5695)

Summary:
Its symmetry is No. 148. The total energy is -2.5494 eV/atom. The total magnetization is 0.0 μB/f.u.

Pm2Ag3Hg: relaxed, PBE.

Cell lengths 9.7935, 9.1515, 5.9794 Å; angles 77.55, 65.85, 36.60 degrees
Sites, in units of the cell vectors:
Pm (0.2477, 0.7523, 0.7523)
Pm (0.2500, 0.2500, 0.2500)
Pm (0.7500, 0.7500, 0.7500)
Pm (0.7523, 0.2477, 0.2477)
Ag (0.1651, 0.1651, 0.8349)
Ag (0.1653, 0.6699, 0.3301)
Ag (0.3301, 0.8347, 0.1653)
Ag (0.6699, 0.1653, 0.8347)
Ag (0.8347, 0.3301, 0.6699)
Ag (0.8349, 0.8349, 0.1651)
Hg (0.3336, 0.3336, 0.6664)
Hg (0.6664, 0.6664, 0.3336)

Summary:
Its symmetry is No. 69. The total energy is -3.3768 eV/atom. The value obtained for the energy above the lowest structure with this stoichiometry is 0.0 meV/atom. The total magnetization is 0.0 μB/f.u.

Pm2AgHg6: relaxed, PBE.

Cell lengths 9.3601, 9.3695, 4.9893 Å; angles 90.00, 90.00, 90.00 degrees
Sites, in units of the cell vectors:
Pm (0.2015, 0.2023, 0.0000)
Pm (0.2985, 0.7023, 0.5000)
Pm (0.7015, 0.2977, 0.5000)
Pm (0.7985, 0.7977, 0.0000)
Ag (0.0000, 0.0000, 0.5000)
Ag (0.5000, 0.5000, 0.0000)
Hg (0.0377, 0.3387, 0.5000)
Hg (0.1333, 0.8675, 0.0000)
Hg (0.1614, 0.5385, 0.0000)
Hg (0.3386, 0.0385, 0.5000)
Hg (0.3667, 0.3675, 0.5000)
Hg (0.4623, 0.8387, 0.0000)
Hg (0.5377, 0.1613, 0.0000)
Hg (0.6333, 0.6325, 0.5000)
Hg (0.6614, 0.9615, 0.5000)
Hg (0.8386, 0.4615, 0.0000)
Hg (0.8667, 0.1325, 0.0000)
Hg (0.9623, 0.6613, 0.5000)

Summary:
Its symmetry is No. 58. The total energy is -1.8716 eV/atom. The value obtained for the energy above the lowest structure with this stoichiometry is 0.0 meV/atom. The total magnetization is 0.0 μB/f.u.

Pm2AgHg2: relaxed, PBE.

Cell lengths 6.0424, 6.0424, 10.8031 Å; angles 110.54, 110.54, 46.39 degrees
Sites, in units of the cell vectors:
Pm (0.0257, 0.0257, 0.3442)
Pm (0.1782, 0.1782, 0.1036)
Pm (0.8218, 0.8218, 0.8964)
Pm (0.9743, 0.9743, 0.6558)
Ag (0.2793, 0.2793, 0.6725)
Ag (0.7207, 0.7207, 0.3275)
Hg (0.3585, 0.3585, 0.4206)
Hg (0.4623, 0.4623, 0.1200)
Hg (0.5377, 0.5377, 0.8800)
Hg (0.6415, 0.6415, 0.5794)

Summary:
Its symmetry is No. 12. The total energy is -2.9500 eV/atom. The value obtained for the energy above the lowest structure with this stoichiometry is 0.0 meV/atom. The total magnetization is 0.0 μB/f.u.

PmAg2Hg: relaxed, PBE.

Cell lengths 8.4322, 7.8584, 5.6892 Å; angles 90.00, 90.00, 90.00 degrees
Sites, in units of the cell vectors:
Pm (0.0554, 0.2500, 0.1290)
Pm (0.4446, 0.7500, 0.6290)
Pm (0.5554, 0.2500, 0.3710)
Pm (0.9446, 0.7500, 0.8710)
Ag (0.1980, 0.0574, 0.5937)
Ag (0.1980, 0.4426, 0.5937)
Ag (0.3020, 0.5574, 0.0937)
Ag (0.3020, 0.9426, 0.0937)
Ag (0.6980, 0.0574, 0.9063)
Ag (0.6980, 0.4426, 0.9063)
Ag (0.8020, 0.5574, 0.4063)
Ag (0.8020, 0.9426, 0.4063)
Hg (0.0967, 0.7500, 0.3799)
Hg (0.4033, 0.2500, 0.8799)
Hg (0.5967, 0.7500, 0.1201)
Hg (0.9033, 0.2500, 0.6201)

Summary:
Its symmetry is No. 62. The total energy is -2.8898 eV/atom. The value obtained for the energy above the lowest structure with this stoichiometry is 43.0 meV/atom. The total magnetization is 0.0 μB/f.u.

Pm3AgHg4: relaxed, PBE.

Cell lengths 8.1990, 8.1990, 8.1990 Å; angles 142.19, 142.19, 54.54 degrees
Sites, in units of the cell vectors:
Pm (0.0000, 0.0000, 0.0000)
Pm (0.2677, 0.2677, 0.0000)
Pm (0.7323, 0.7323, 0.0000)
Ag (0.5000, 0.5000, 0.0000)
Hg (0.1183, 0.6183, 0.5000)
Hg (0.3817, 0.8817, 0.5000)
Hg (0.6183, 0.1183, 0.5000)
Hg (0.8817, 0.3817, 0.5000)

Summary:
Its symmetry is No. 139. The total energy is -2.7034 eV/atom. The value obtained for the energy above the lowest structure with this stoichiometry is 0.0 meV/atom. The total magnetization is 0.0 μB/f.u.